Arrangement P

Density functional theory data (SCAN) for CsHg2Au at its PBEsol-relaxed geometry.

## Properties
The calculation puts the size of the total moment at 0.000 μB/atom.

a b c (Å): 5.5124 5.5124 5.5124
angles (deg): 60.00 60.00 60.00
Closest atoms and distances in Å follow each position.
Element x y z (fractional)
Hg1 0.7500 0.7500 0.7500  4 Au 3.38, 4 Cs 3.38
Hg2 0.2500 0.2500 0.2500  4 Au 3.38, 4 Cs 3.38
Cs1 0.0000 0.0000 0.0000  8 Hg 3.38
Au1 0.5000 0.5000 0.5000  8 Hg 3.38

***

Arrangement Q

Density functional theory data (SCAN) for CsHg2Au at its PBEsol-relaxed geometry.

## Properties
The calculation puts the size of the total moment at 0.000 μB/atom.

a b c (Å): 5.7759 5.7759 10.0931
angles (deg): 106.63 106.63 90.00
Closest atoms and distances in Å follow each position.
Element x y z (fractional)
Au1 0.0000 0.0000 0.0000  4 Hg 2.73
Au2 0.2500 0.7500 0.5000  4 Hg 2.73
Hg1 0.1250 0.9200 0.7500  2 Au 2.73, 2 Hg 2.93
Hg2 0.6250 0.8300 0.7500  2 Au 2.73, 2 Hg 2.93
Hg3 0.0800 0.3750 0.2500  2 Au 2.73, 2 Hg 2.93
Hg4 0.1700 0.8750 0.2500  2 Au 2.73, 2 Hg 2.93
Cs1 0.5000 0.5000 0.0000  8 Hg 3.78-4.16, 4 Au 4.08
Cs2 0.7500 0.2500 0.5000  8 Hg 3.78-4.16, 4 Au 4.08

***

arrangement Q takes first place; second place is 0.076 eV/atom up.

***

Arrangement P

Density functional theory data (SCAN) for Cs2HgAu2 at its PBEsol-relaxed geometry.

## Properties
The calculation puts the size of the total moment at 0.000 μB/atom.

a b c (Å): 4.0938 9.6763 9.6763
angles (deg): 90.00 90.00 90.00
Closest atoms and distances in Å follow each position.
Element x y z (fractional)
Hg1 0.0000 0.5000 0.5000  4 Cs 3.71, 2 Hg 4.09
Hg2 0.0000 0.0000 0.0000  4 Cs 3.71, 2 Hg 4.09
Au1 0.5000 0.6502 0.8498  6 Cs 3.46-3.52
Au2 0.5000 0.1502 0.6502  6 Cs 3.46-3.52
Au3 0.5000 0.3498 0.1502  6 Cs 3.46-3.52
Au4 0.5000 0.8498 0.3498  6 Cs 3.46-3.52
Cs1 0.0000 0.1461 0.3539  6 Au 3.46-3.52, 2 Hg 3.71
Cs2 0.0000 0.8539 0.6461  6 Au 3.46-3.52, 2 Hg 3.71
Cs3 0.0000 0.6461 0.1461  6 Au 3.46-3.52, 2 Hg 3.71
Cs4 0.0000 0.3539 0.8539  6 Au 3.46-3.52, 2 Hg 3.71

***

Arrangement Q

Density functional theory data (SCAN) for Cs2HgAu2 at its PBEsol-relaxed geometry.

## Properties
The calculation puts the size of the total moment at 0.000 μB/atom.

a b c (Å): 6.2632 6.2632 6.2632
angles (deg): 99.98 114.42 114.42
Closest atoms and distances in Å follow each position.
Element x y z (fractional)
Cs1 0.5000 0.7500 0.2500  4 Au 3.46
Cs2 0.5000 0.2500 0.7500  4 Au 3.46
Hg1 0.0000 0.0000 0.0000  2 Au 2.71
Au1 0.0000 0.6631 0.6631  1 Au 2.63, 1 Hg 2.71
Au2 0.0000 0.3369 0.3369  1 Au 2.63, 1 Hg 2.71

***

Arrangement R

Density functional theory data (SCAN) for Cs2HgAu2 at its PBEsol-relaxed geometry.

## Properties
The calculation puts the size of the total moment at 0.000 μB/atom.

a b c (Å): 6.4237 6.4237 7.4035
angles (deg): 115.71 115.71 90.00
Closest atoms and distances in Å follow each position.
Element x y z (fractional)
Cs1 0.3332 0.3332 0.6663  4 Au 3.36
Cs2 0.6668 0.6668 0.3337  4 Au 3.36
Au1 0.7500 0.2500 0.5000  4 Cs 3.36
Au2 0.2500 0.7500 0.5000  4 Cs 3.36
Hg1 0.0000 0.0000 0.0000  2 Cs 3.90, 8 Au 4.34

***

arrangement Q takes first place; second place is 0.088 eV/atom up.

***

Arrangement P

Density functional theory data (SCAN) for CsRb2Au2 at its PBEsol-relaxed geometry.

## Properties
The calculation puts the size of the total moment at 0.000 μB/atom.

a b c (Å): 3.9840 9.7021 9.7021
angles (deg): 90.00 90.00 90.00
Closest atoms and distances in Å follow each position.
Element x y z (fractional)
Cs1 0.0000 0.5000 0.5000  4 Rb 3.82, 2 Cs 3.98, 8 Au 4.12
Cs2 0.0000 0.0000 0.0000  4 Rb 3.82, 2 Cs 3.98, 8 Au 4.12
Au1 0.5000 0.1696 0.6696  6 Rb 3.42-3.53
Au2 0.5000 0.3304 0.1696  6 Rb 3.42-3.53
Au3 0.5000 0.6696 0.8304  6 Rb 3.42-3.53
Au4 0.5000 0.8304 0.3304  6 Rb 3.42-3.53
Rb1 0.0000 0.6282 0.1282  6 Au 3.42-3.53, 1 Rb 3.52, 2 Cs 3.82
Rb2 0.0000 0.8718 0.6282  6 Au 3.42-3.53, 1 Rb 3.52, 2 Cs 3.82
Rb3 0.0000 0.1282 0.3718  6 Au 3.42-3.53, 1 Rb 3.52, 2 Cs 3.82
Rb4 0.0000 0.3718 0.8718  6 Au 3.42-3.53, 1 Rb 3.52, 2 Cs 3.82

***

Arrangement Q

Density functional theory data (SCAN) for CsRb2Au2 at its PBEsol-relaxed geometry.

## Properties
The calculation puts the size of the total moment at 0.000 μB/atom.

a b c (Å): 5.3023 5.3023 8.0825
angles (deg): 109.15 109.15 90.00
Closest atoms and distances in Å follow each position.
Element x y z (fractional)
Rb1 0.7500 0.2500 0.5000  4 Au 3.46, 4 Rb 3.75
Rb2 0.2500 0.7500 0.5000  4 Au 3.46, 4 Rb 3.75
Au1 0.5950 0.5950 0.1900  1 Au 2.72
Au2 0.4050 0.4050 0.8100  1 Au 2.72
Cs1 0.0000 0.0000 0.0000  8 Au 3.99, 8 Rb 4.45

***

arrangement Q takes first place; second place is 0.006 eV/atom up.